Record 1
# SiAgBr PBE optimized geometry
# **E_form (uncorrected)**: 59.0 kJ per mole of atoms
# **Space-group type**: F-43m, No. 216
# **Relative energy among the computed polymorphs**: 554 meV per atom
data_SiAgBr
_cell_length_a 4.724
_cell_length_b 4.724
_cell_length_c 4.724
_cell_angle_alpha 60.00
_cell_angle_beta 60.00
_cell_angle_gamma 60.00
_symmetry_space_group_name_H-M 'P 1'
_symmetry_Int_Tables_number 1
loop_
_symmetry_equiv_pos_as_xyz
'x,y,z'
loop_
_atom_site_label
_atom_site_type_symbol
_atom_site_fract_x
_atom_site_fract_y
_atom_site_fract_z
Si1 Si 0.000 0.000 0.000
Ag1 Ag 0.750 0.750 0.750
Br1 Br 0.250 0.250 0.250


Record 2
# KTm4S6 PBE optimized geometry
# **E_form (uncorrected)**: -187.4 kJ per mole of atoms
# **Space-group type**: Cmcm, No. 63
data_KTm4S6
_cell_length_a 6.771
_cell_length_b 6.771
_cell_length_c 20.634
_cell_angle_alpha 90.00
_cell_angle_beta 90.00
_cell_angle_gamma 146.56
_symmetry_space_group_name_H-M 'P 1'
_symmetry_Int_Tables_number 1
loop_
_symmetry_equiv_pos_as_xyz
'x,y,z'
loop_
_atom_site_label
_atom_site_type_symbol
_atom_site_fract_x
_atom_site_fract_y
_atom_site_fract_z
K1 K 0.152 0.848 0.750
K2 K 0.848 0.152 0.250
Tm1 Tm 0.099 0.901 0.134
Tm2 Tm 0.099 0.901 0.366
Tm3 Tm 0.368 0.632 0.041
Tm4 Tm 0.368 0.632 0.459
Tm5 Tm 0.632 0.368 0.541
Tm6 Tm 0.632 0.368 0.959
Tm7 Tm 0.901 0.099 0.634
Tm8 Tm 0.901 0.099 0.866
S1 S 0.000 0.000 0.000
S2 S 0.000 0.000 0.500
S3 S 0.163 0.837 0.250
S4 S 0.272 0.728 0.579
S5 S 0.272 0.728 0.921
S6 S 0.464 0.536 0.152
S7 S 0.464 0.536 0.348
S8 S 0.536 0.464 0.652
S9 S 0.536 0.464 0.848
S10 S 0.728 0.272 0.079
S11 S 0.728 0.272 0.421
S12 S 0.837 0.163 0.750


Record 3
# KBeMo2 PBE optimized geometry
# **Formation energy from the elements**: 1.42 eV per atom
# **Space-group type**: Pmmm, No. 47
data_KBeMo2
_cell_length_a 2.606
_cell_length_b 5.190
_cell_length_c 5.335
_cell_angle_alpha 90.00
_cell_angle_beta 90.00
_cell_angle_gamma 90.00
_symmetry_space_group_name_H-M 'P 1'
_symmetry_Int_Tables_number 1
loop_
_symmetry_equiv_pos_as_xyz
'x,y,z'
loop_
_atom_site_label
_atom_site_type_symbol
_atom_site_fract_x
_atom_site_fract_y
_atom_site_fract_z
K1 K 0.000 0.000 0.000
Be1 Be 0.500 0.500 0.000
Mo1 Mo 0.000 0.500 0.500
Mo2 Mo 0.500 0.000 0.500


Record 4
# Cs3ErAl2O6 PBE optimized geometry
# **E_form (uncorrected)**: -228.9 kJ per mole of atoms
# **Space-group type**: P-3m1, No. 164
data_Cs3ErAl2O6
_cell_length_a 6.148
_cell_length_b 6.148
_cell_length_c 7.705
_cell_angle_alpha 90.00
_cell_angle_beta 90.00
_cell_angle_gamma 120.00
_symmetry_space_group_name_H-M 'P 1'
_symmetry_Int_Tables_number 1
loop_
_symmetry_equiv_pos_as_xyz
'x,y,z'
loop_
_atom_site_label
_atom_site_type_symbol
_atom_site_fract_x
_atom_site_fract_y
_atom_site_fract_z
Cs1 Cs 0.000 0.000 0.000
Cs2 Cs 0.333 0.667 0.764
Cs3 Cs 0.667 0.333 0.236
Er1 Er 0.000 0.000 0.500
Al1 Al 0.333 0.667 0.326
Al2 Al 0.667 0.333 0.674
O1 O 0.172 0.344 0.322
O2 O 0.172 0.828 0.322
O3 O 0.344 0.172 0.678
O4 O 0.656 0.828 0.322
O5 O 0.828 0.172 0.678
O6 O 0.828 0.656 0.678


DFT total energy list, top to bottom, in eV/cell: -8.1 -130.2 -20.8 -72.8